The following is a GGA-PBE calculation of a relaxed CoNiN3 crystal, from the Alexandria database.

Results
E_form (uncorrected) = 1.683 eV/atom
Symmetry = No. 221
Calculated volume = 9.40 Å³ per atom
Crystal system = cubic

POSCAR file:
```
CoNiN3
1.0
3.6087 0.0000 0.0000
0.0000 3.6087 0.0000
0.0000 0.0000 3.6087
N Ni Co
3 1 1
direct
0.0000 0.5000 0.0000 N
0.0000 0.0000 0.5000 N
0.5000 0.0000 0.0000 N
0.5000 0.5000 0.5000 Ni
0.0000 0.0000 0.0000 Co
```